PBE with a Hubbard U BaCaVF7, relaxed; total moment = 8.00 μB per cell; SG = P2_1/c (14); E_tot = -237.9 eV/cell; Fermi-level density of states = 0.00 states/eV/f.u.
1.0
5.716 0.000 0.000
0.000 10.979 0.000
-0.391 0.000 9.647
Ba Ca V F
4 4 4 28
Direct
0.228 0.153 0.476
0.228 0.347 0.976
0.772 0.653 0.024
0.772 0.847 0.524
0.213 0.571 0.360
0.213 0.929 0.860
0.787 0.071 0.140
0.787 0.429 0.640
0.301 0.653 0.702
0.301 0.847 0.202
0.699 0.153 0.798
0.699 0.347 0.298
0.022 0.738 0.770
0.022 0.762 0.270
0.102 0.520 0.145
0.102 0.980 0.645
0.152 0.508 0.611
0.152 0.992 0.111
0.212 0.731 0.524
0.212 0.769 0.024
0.405 0.557 0.862
0.405 0.943 0.362
0.410 0.108 0.896
0.410 0.392 0.396
0.487 0.703 0.273
0.487 0.797 0.773
0.513 0.203 0.227
0.513 0.297 0.727
0.590 0.608 0.604
0.590 0.892 0.104
0.595 0.057 0.638
0.595 0.443 0.138
0.788 0.231 0.976
0.788 0.269 0.476
0.848 0.008 0.889
0.848 0.492 0.389
0.898 0.020 0.355
0.898 0.480 0.855
0.978 0.238 0.730
0.978 0.262 0.230